# AcTb8Er6 GGA-PBE relaxed
data_AcTb8Er6
_chemical_formula_sum 'Ac3 Tb24 Er18'
_space_group_name_H-M_alt 'R -3'
_space_group_IT_number 148
_space_group_name_Hall '-R 3'
_cell_length_a 9.6470
_cell_length_b 9.6470
_cell_length_c 18.0953
_cell_angle_alpha 90.00
_cell_angle_beta 90.00
_cell_angle_gamma 120.00
loop_
_atom_site_label
_atom_site_fract_x
_atom_site_fract_y
_atom_site_fract_z
Ac1 0.0000 0.0000 0.0000
Tb1 0.0000 0.0000 0.2388
Tb2 0.0445 0.7575 0.8995
Er1 0.0255 0.7913 0.4078
# Calculated total energy = -4.34 eV per atom
# Crystal system = trigonal
# V = 32.41 A^3/atom

---

# AcTb3Er GGA-PBE relaxed
data_AcTb3Er
_chemical_formula_sum 'Ac2 Tb6 Er2'
_space_group_name_H-M_alt 'P -1'
_space_group_IT_number 2
_cell_length_a 4.897
_cell_length_b 8.596
_cell_length_c 9.491
_cell_angle_alpha 68.63
_cell_angle_beta 75.08
_cell_angle_gamma 89.99
loop_
_space_group_symop_operation_xyz
'x,y,z'
'-x,-y,-z'
loop_
_atom_site_label
_atom_site_fract_x
_atom_site_fract_y
_atom_site_fract_z
Ac1 0.116 0.148 0.269
Tb1 0.057 0.699 0.386
Tb2 0.227 0.629 0.046
Tb3 0.415 0.555 0.670
Er1 0.311 0.111 0.878
# Calculated total energy = -4.36 eV per atom
# Crystal system = triclinic
# V = 35.76 A^3/atom

---

# Ac2Tb2Er7 GGA-PBE relaxed
data_Ac2Tb2Er7
_chemical_formula_sum 'Ac4 Tb4 Er14'
_space_group_name_H-M_alt 'C 1 2/m 1'
_space_group_IT_number 12
_cell_length_a 11.525
_cell_length_b 11.552
_cell_length_c 6.177
_cell_angle_alpha 90.00
_cell_angle_beta 114.45
_cell_angle_gamma 90.00
loop_
_space_group_symop_operation_xyz
'x,y,z'
'-x,-y,-z'
'-x,y,-z'
'x,-y,z'
'x+1/2,y+1/2,z'
'-x+1/2,-y+1/2,-z'
'-x+1/2,y+1/2,-z'
'x+1/2,-y+1/2,z'
loop_
_atom_site_label
_atom_site_fract_x
_atom_site_fract_y
_atom_site_fract_z
Ac1 0.000 0.213 0.000
Tb1 0.249 0.500 0.921
Er1 0.000 0.000 0.500
Er2 0.099 0.500 0.318
Er3 0.171 0.233 0.660
# Calculated total energy = -4.30 eV per atom
# Crystal system = monoclinic
# V = 34.03 A^3/atom